Record 1
{
  "formula": "Pb2AuF",
  "functional": "GGA-PBE",
  "state": "relaxed",
  "sg": "No. 166",
  "relative_energy_mev_per_atom": 0,
  "formation_energy_uncorrected_ev_per_atom": -0.71,
  "final_energy_ev_per_atom": -3.85,
  "lattice": [[4.184, 0.000, 0.000], [2.092, 3.623, 0.000], [2.092, 1.208, 8.083]],
  "species": ["Pb", "Pb", "Au", "F"],
  "fractional_positions": [[0.096, 0.096, 0.711], [0.904, 0.904, 0.289], [0.500, 0.500, 0.500], [0.000, 0.000, 0.000]]
}



Record 2
{
  "formula": "La8Bi5Sb",
  "functional": "GGA-PBE",
  "state": "relaxed",
  "sg": "No. 82",
  "formation_energy_uncorrected_ev_per_atom": -0.96,
  "final_energy_ev_per_atom": -5.46,
  "lattice": [[8.060, 0.000, -2.795], [-4.011, 6.962, -2.868], [-0.039, 0.000, 8.531]],
  "species": ["La", "La", "La", "La", "La", "La", "La", "La", "Bi", "Bi", "Bi", "Bi", "Bi", "Sb"],
  "fractional_positions": [[0.125, 0.743, 0.013], [0.987, 0.112, 0.730], [0.772, 0.253, 0.379], [0.621, 0.393, 0.874], [0.481, 0.607, 0.228], [0.618, 0.888, 0.875], [0.270, 0.257, 0.382], [0.126, 0.747, 0.519], [0.997, 0.371, 0.122], [0.878, 0.875, 0.250], [0.750, 0.629, 0.625], [0.500, 0.000, 0.500], [0.375, 0.125, 0.003], [0.250, 0.500, 0.750]]
}



> Number 1 is which compound?

Pb2AuF



> Which formula does entry 1 have?

Pb2AuF